1.
Compound: GaSiAu3
Source: Alexandria
Functional: PBE
Structure: relaxed

* raw formation energy: -17 meV/atom
* M_tot: 0.00 μB per formula unit
* E: -3.6738 eV/atom
* calculated density: 9.0 g/cm3

The structure in CIF format:
```
data_GaSiAu3
_cell_length_a 7.088
_cell_length_b 4.457
_cell_length_c 8.810
_cell_angle_alpha 90.00
_cell_angle_beta 113.61
_cell_angle_gamma 90.00
_symmetry_space_group_name_H-M 'P 1 21/m 1'
_symmetry_Int_Tables_number 11
loop_
_symmetry_equiv_pos_as_xyz
'x,y,z'
'-x,-y,-z'
'-x,y+1/2,-z'
'x,-y+1/2,z'
loop_
_atom_site_label
_atom_site_type_symbol
_atom_site_fract_x
_atom_site_fract_y
_atom_site_fract_z
_atom_site_occupancy
Ga1 Ga 0.217 0.250 0.435 1
Si1 Si 0.389 0.250 0.779 1
Au1 Au 0.017 0.250 0.645 1
Au2 Au 0.373 0.750 0.355 1
Au3 Au 0.448 0.750 0.897 1
```

2.
Compound: Nd3ZrPa2N6
Source: Alexandria
Functional: PBE
Structure: relaxed

* raw formation energy: -1584 meV/atom
* M_tot: 0.00 μB per formula unit
* E: -9.2332 eV/atom
* calculated density: 9.5 g/cm3

The structure in CIF format:
```
data_Nd3ZrPa2N6
_cell_length_a 6.080
_cell_length_b 10.534
_cell_length_c 6.165
_cell_angle_alpha 90.00
_cell_angle_beta 109.09
_cell_angle_gamma 90.00
_symmetry_space_group_name_H-M 'C 1 2/m 1'
_symmetry_Int_Tables_number 12
loop_
_symmetry_equiv_pos_as_xyz
'x,y,z'
'-x,-y,-z'
'-x,y,-z'
'x,-y,z'
'x+1/2,y+1/2,z'
'-x+1/2,-y+1/2,-z'
'-x+1/2,y+1/2,-z'
'x+1/2,-y+1/2,z'
loop_
_atom_site_label
_atom_site_type_symbol
_atom_site_fract_x
_atom_site_fract_y
_atom_site_fract_z
_atom_site_occupancy
Nd1 Nd 0.000 0.000 0.000 1
Nd2 Nd 0.000 0.335 0.000 1
Zr1 Zr 0.000 0.500 0.500 1
Pa1 Pa 0.000 0.167 0.500 1
N1 N 0.237 0.333 0.710 1
N2 N 0.238 0.000 0.714 1
```

3.
Compound: SmTmAl
Source: Alexandria
Functional: PBE
Structure: relaxed

* M_tot: 0.00 μB per formula unit
* E: -4.3398 eV/atom
* ΔH_f (0 K): -28.7 meV/atom
* calculated density: 7.0 g/cm3

The structure in CIF format:
```
data_SmTmAl
_cell_length_a 3.4654
_cell_length_b 3.4654
_cell_length_c 23.8017
_cell_angle_alpha 90.00
_cell_angle_beta 90.00
_cell_angle_gamma 120.00
_symmetry_space_group_name_H-M 'R 3 m'
_symmetry_Int_Tables_number 160
_symmetry_space_group_name_Hall 'R 3 -2"'
loop_
_atom_site_label
_atom_site_type_symbol
_atom_site_fract_x
_atom_site_fract_y
_atom_site_fract_z
_atom_site_occupancy
Sm1 Sm 0.0000 0.0000 0.0000 1
Tm1 Tm 0.0000 0.0000 0.7924 1
Al1 Al 0.0000 0.0000 0.2255 1
```

4.
Compound: AgBH3
Source: Alexandria
Functional: PBE
Structure: relaxed

* M_tot: 0.00 μB per formula unit
* E: -2.6241 eV/atom
* calculated density: 4.2 g/cm3

The structure in CIF format:
```
data_AgBH3
_cell_length_a 3.630
_cell_length_b 3.630
_cell_length_c 3.630
_cell_angle_alpha 90.00
_cell_angle_beta 90.00
_cell_angle_gamma 90.00
_symmetry_space_group_name_H-M 'P m -3 m'
_symmetry_Int_Tables_number 221
_symmetry_space_group_name_Hall '-P 4 2 3'
loop_
_atom_site_label
_atom_site_type_symbol
_atom_site_fract_x
_atom_site_fract_y
_atom_site_fract_z
_atom_site_occupancy
Ag1 Ag 0.000 0.000 0.000 1
B1 B 0.500 0.500 0.500 1
H1 H 0.000 0.000 0.500 1
```

5.
Compound: Co2HgPt
Source: Alexandria
Functional: PBE
Structure: relaxed

* M_tot: 3.70 μB per formula unit
* E: -4.9008 eV/atom
* ΔH_f (0 K): 237.8 meV/atom
* calculated density: 14.2 g/cm3

The structure in CIF format:
```
data_Co2HgPt
_cell_length_a 2.7908
_cell_length_b 2.7908
_cell_length_c 26.6719
_cell_angle_alpha 90.00
_cell_angle_beta 90.00
_cell_angle_gamma 120.00
_symmetry_space_group_name_H-M 'R 3 m'
_symmetry_Int_Tables_number 160
_symmetry_space_group_name_Hall 'R 3 -2"'
loop_
_atom_site_label
_atom_site_type_symbol
_atom_site_fract_x
_atom_site_fract_y
_atom_site_fract_z
_atom_site_occupancy
Co1 Co 0.0000 0.0000 0.0000 1
Co2 Co 0.0000 0.0000 0.2660 1
Hg1 Hg 0.0000 0.0000 0.7554 1
Pt1 Pt 0.0000 0.0000 0.5200 1
```

6.
Compound: TbCeNd2Y
Source: Alexandria
Functional: PBE
Structure: relaxed

* M_tot: 0.54 μB per formula unit
* E: -5.0322 eV/atom
* ΔH_f (0 K): 280.6 meV/atom
* calculated density: 6.6 g/cm3

The structure in CIF format:
```
data_TbCeNd2Y
_cell_length_a 6.134
_cell_length_b 6.766
_cell_length_c 8.209
_cell_angle_alpha 90.00
_cell_angle_beta 90.00
_cell_angle_gamma 90.00
_symmetry_space_group_name_H-M 'P m m a'
_symmetry_Int_Tables_number 51
loop_
_symmetry_equiv_pos_as_xyz
'x,y,z'
'-x,-y,-z'
'-x+1/2,-y,z'
'x+1/2,y,-z'
'x+1/2,-y,-z'
'-x+1/2,y,z'
'-x,y,-z'
'x,-y,z'
loop_
_atom_site_label
_atom_site_type_symbol
_atom_site_fract_x
_atom_site_fract_y
_atom_site_fract_z
_atom_site_occupancy
Tb1 Tb 0.250 0.000 0.125 1
Ce1 Ce 0.000 0.500 0.000 1
Nd1 Nd 0.250 0.236 0.693 1
Y1 Y 0.250 0.500 0.357 1
```

> Number 5 is which compound?

Co2HgPt